Entry 1:
A relaxed Al7Zn2Rh2 crystal. Source: Alexandria, functional PBE.

POSCAR file:
```
Al7Zn2Rh2
1.0
3.182 -3.776 0.000
3.182 3.776 0.000
-1.727 0.000 7.031
Al Zn Rh
7 2 2
Direct
0.000 0.000 0.000
0.096 0.462 0.823
0.121 0.121 0.380
0.462 0.096 0.823
0.538 0.904 0.177
0.879 0.879 0.620
0.904 0.538 0.177
0.313 0.687 0.500
0.687 0.313 0.500
0.383 0.383 0.166
0.617 0.617 0.834
```

Properties
For the total energy, the calculation gives -48.20 eV/cell. As for the energy relative to the elements: -432 meV/atom. As for the volume: 169.0 Å³/f.u.

---

Entry 2:
A relaxed Zr2AlZnRh crystal. Source: Alexandria, functional PBE.

POSCAR file:
```
Zr2AlZnRh
1.0
4.899 0.000 0.000
0.000 4.899 0.000
0.000 0.000 4.526
Zr Al Zn Rh
2 1 1 1
Direct
0.000 0.500 0.000
0.500 0.000 0.000
0.000 0.000 0.500
0.500 0.500 0.000
0.500 0.500 0.500
```

Properties
For the total energy, the calculation gives -27.20 eV/cell. As for the energy relative to the elements: 454 meV/atom. As for the volume: 108.6 Å³/f.u.

---

Entry 3:
A relaxed ZrAl2Rh crystal. Source: Alexandria, functional PBE.

POSCAR file:
```
ZrAl2Rh
1.0
-1.493 2.442 4.718
1.493 -2.442 4.718
1.493 2.442 -4.718
Zr Al Rh
1 2 1
Direct
0.000 0.000 0.000
0.277 0.777 0.500
0.723 0.223 0.500
0.500 0.500 0.000
```

Properties
For the total energy, the calculation gives -25.45 eV/cell. As for the energy relative to the elements: -516 meV/atom. As for the volume: 68.8 Å³/f.u.

---

Entry 4:
A relaxed Zr2AlRh crystal. Source: Alexandria, functional PBE.

POSCAR file:
```
Zr2AlRh
1.0
3.448 0.000 0.000
0.000 4.245 0.000
-1.714 0.000 5.240
Zr Al Rh
2 1 1
Direct
0.000 0.000 0.000
0.298 0.500 0.598
0.577 0.500 0.155
0.733 0.000 0.469
```

Properties
For the total energy, the calculation gives -30.54 eV/cell. As for the energy relative to the elements: -588 meV/atom. As for the volume: 76.7 Å³/f.u.

---

Entry 5:
A relaxed ZrAlRh2 crystal. Source: Alexandria, functional PBE.

POSCAR file:
```
ZrAlRh2
1.0
3.060 0.000 0.000
0.000 3.949 0.000
0.000 0.000 5.453
Zr Al Rh
1 1 2
Direct
0.000 0.000 0.000
0.500 0.500 0.328
0.000 0.000 0.474
0.500 0.500 0.804
```

Properties
For the total energy, the calculation gives -29.89 eV/cell. As for the energy relative to the elements: -725 meV/atom. As for the volume: 65.9 Å³/f.u.

---

Entry 6:
A relaxed Zr2AlRh crystal. Source: Alexandria, functional PBE.

POSCAR file:
```
Zr2AlRh
1.0
-1.622 2.317 5.002
1.622 -2.317 5.002
1.622 2.317 -5.002
Zr Al Rh
2 1 1
Direct
0.000 0.000 0.000
0.730 0.230 0.500
0.288 0.788 0.500
0.492 0.492 0.000
```

Properties
For the total energy, the calculation gives -30.45 eV/cell. As for the energy relative to the elements: -564 meV/atom. As for the volume: 75.2 Å³/f.u.

---

Entry 7:
A relaxed ZrAl2Rh crystal. Source: Alexandria, functional PBE.

POSCAR file:
```
ZrAl2Rh
1.0
7.755 0.000 0.000
0.000 6.700 0.000
0.000 0.000 5.306
Zr Al Rh
4 8 4
Direct
0.033 0.250 0.112
0.467 0.750 0.612
0.533 0.250 0.388
0.967 0.750 0.888
0.184 0.051 0.613
0.184 0.449 0.613
0.316 0.551 0.113
0.316 0.949 0.113
0.684 0.051 0.887
0.684 0.449 0.887
0.816 0.551 0.387
0.816 0.949 0.387
0.098 0.750 0.368
0.402 0.250 0.868
0.598 0.750 0.132
0.902 0.250 0.632
```

Properties
For the total energy, the calculation gives -105.32 eV/cell. As for the energy relative to the elements: -736 meV/atom. As for the volume: 68.9 Å³/f.u.

---

Entry 8:
A relaxed ZrAl2Rh2 crystal. Source: Alexandria, functional PBE.

POSCAR file:
```
ZrAl2Rh2
1.0
7.438 0.000 0.000
0.000 7.438 0.000
0.000 0.000 2.838
Zr Al Rh
2 4 4
Direct
0.000 0.000 0.000
0.500 0.500 0.000
0.125 0.375 0.000
0.375 0.875 0.000
0.625 0.125 0.000
0.875 0.625 0.000
0.171 0.671 0.500
0.329 0.171 0.500
0.671 0.829 0.500
0.829 0.329 0.500
```

Properties
For the total energy, the calculation gives -69.69 eV/cell. As for the energy relative to the elements: -822 meV/atom. The energy above the most stable polymorph in this dataset comes out at 0 meV/atom. As for the volume: 78.5 Å³/f.u.